Record 1
Compound: Y2TmSn2
Source: Alexandria via LeMat-Bulk
Functional: PBE
Structure: optimized geometry

Unit cell a=9.302 b=9.302 c=6.466 alpha=90.00 beta=90.00 gamma=149.08
Atoms (fractional coordinates):
Y: 0.001 0.999 0.500
Y: 0.191 0.809 0.753
Y: 0.809 0.191 0.253
Y: 0.999 0.001 0.000
Tm: 0.395 0.605 0.749
Tm: 0.605 0.395 0.249
Sn: 0.194 0.806 0.253
Sn: 0.426 0.574 0.250
Sn: 0.574 0.426 0.750
Sn: 0.806 0.194 0.753

Results
Crystal system   orthorhombic
DFT formation energy   -0.632 eV per atom

Record 2
Compound: Y4TmSn2
Source: Alexandria via LeMat-Bulk
Functional: PBE
Structure: optimized geometry

Unit cell a=10.422 b=10.422 c=10.422 alpha=28.50 beta=28.50 gamma=28.50
Atoms (fractional coordinates):
Y: 0.115 0.115 0.115
Y: 0.294 0.294 0.294
Y: 0.706 0.706 0.706
Y: 0.885 0.885 0.885
Tm: 0.500 0.500 0.500
Sn: 0.399 0.399 0.399
Sn: 0.601 0.601 0.601

Results
Crystal system   trigonal
DFT formation energy   -0.238 eV per atom

Record 3
Compound: Y5TmSn6
Source: Alexandria via LeMat-Bulk
Functional: PBE
Structure: optimized geometry

Unit cell a=7.584 b=7.584 c=8.482 alpha=94.67 beta=94.67 gamma=135.62
Atoms (fractional coordinates):
Y: 0.000 0.000 0.000
Y: 0.332 0.668 0.000
Y: 0.335 0.665 0.500
Y: 0.665 0.335 0.500
Y: 0.668 0.332 0.000
Tm: 0.000 0.000 0.500
Sn: 0.164 0.832 0.252
Sn: 0.168 0.836 0.748
Sn: 0.491 0.491 0.752
Sn: 0.509 0.509 0.248
Sn: 0.832 0.164 0.252
Sn: 0.836 0.168 0.748

Results
Crystal system   monoclinic
DFT formation energy   -0.643 eV per atom

Record 4
Compound: YTm5Sn2
Source: Alexandria via LeMat-Bulk
Functional: PBE
Structure: optimized geometry

Unit cell a=4.516 b=9.561 c=11.022 alpha=90.00 beta=90.00 gamma=90.00
Atoms (fractional coordinates):
Y: 0.000 0.000 0.000
Y: 0.500 0.500 0.500
Tm: 0.000 0.184 0.345
Tm: 0.000 0.184 0.655
Tm: 0.000 0.500 0.000
Tm: 0.000 0.816 0.345
Tm: 0.000 0.816 0.655
Tm: 0.500 0.000 0.500
Tm: 0.500 0.316 0.155
Tm: 0.500 0.316 0.845
Tm: 0.500 0.684 0.155
Tm: 0.500 0.684 0.845
Sn: 0.000 0.500 0.289
Sn: 0.000 0.500 0.711
Sn: 0.500 0.000 0.211
Sn: 0.500 0.000 0.789

Results
Crystal system   orthorhombic
DFT formation energy   -0.268 eV per atom

Record 5
Compound: YTm3Sn
Source: Alexandria via LeMat-Bulk
Functional: PBE
Structure: optimized geometry

Unit cell a=9.388 b=9.388 c=7.193 alpha=97.77 beta=97.77 gamma=92.78
Atoms (fractional coordinates):
Y: 0.079 0.709 0.860
Y: 0.291 0.921 0.640
Y: 0.709 0.079 0.360
Y: 0.921 0.291 0.140
Tm: 0.046 0.184 0.627
Tm: 0.168 0.510 0.461
Tm: 0.184 0.046 0.127
Tm: 0.262 0.417 0.015
Tm: 0.417 0.262 0.515
Tm: 0.490 0.832 0.039
Tm: 0.510 0.168 0.961
Tm: 0.583 0.738 0.485
Tm: 0.738 0.583 0.985
Tm: 0.816 0.954 0.873
Tm: 0.832 0.490 0.539
Tm: 0.954 0.816 0.373
Sn: 0.260 0.740 0.250
Sn: 0.429 0.571 0.750
Sn: 0.571 0.429 0.250
Sn: 0.740 0.260 0.750

Results
Crystal system   monoclinic
DFT formation energy   -0.114 eV per atom

Record 6
Compound: Tm5ZnSn2
Source: Alexandria via LeMat-Bulk
Functional: PBE
Structure: optimized geometry

Unit cell a=6.013 b=6.013 c=17.121 alpha=90.00 beta=90.00 gamma=137.49
Atoms (fractional coordinates):
Tm: 0.045 0.955 0.602
Tm: 0.045 0.955 0.898
Tm: 0.347 0.653 0.537
Tm: 0.347 0.653 0.963
Tm: 0.441 0.559 0.750
Tm: 0.559 0.441 0.250
Tm: 0.653 0.347 0.037
Tm: 0.653 0.347 0.463
Tm: 0.955 0.045 0.102
Tm: 0.955 0.045 0.398
Zn: 0.158 0.842 0.750
Zn: 0.842 0.158 0.250
Sn: 0.246 0.754 0.153
Sn: 0.246 0.754 0.347
Sn: 0.754 0.246 0.653
Sn: 0.754 0.246 0.847

Results
Crystal system   orthorhombic
DFT formation energy   -0.324 eV per atom

Record 7
Compound: Tm6Zn5Sn
Source: Alexandria via LeMat-Bulk
Functional: PBE
Structure: optimized geometry

Unit cell a=8.719 b=8.719 c=8.719 alpha=146.53 beta=131.96 gamma=59.82
Atoms (fractional coordinates):
Tm: 0.074 0.329 0.745
Tm: 0.240 0.000 0.240
Tm: 0.415 0.671 0.745
Tm: 0.585 0.329 0.255
Tm: 0.760 0.000 0.760
Tm: 0.926 0.671 0.255
Zn: 0.000 0.500 0.500
Zn: 0.168 0.168 0.000
Zn: 0.330 0.830 0.500
Zn: 0.670 0.170 0.500
Zn: 0.832 0.832 0.000
Sn: 0.500 0.500 0.000

Results
Crystal system   orthorhombic
DFT formation energy   -0.400 eV per atom

Record 8
Compound: Tm12ZnSn6
Source: Alexandria via LeMat-Bulk
Functional: PBE
Structure: optimized geometry

Unit cell a=8.593 b=8.593 c=8.593 alpha=100.19 beta=100.19 gamma=100.19
Atoms (fractional coordinates):
Tm: 0.039 0.946 0.684
Tm: 0.054 0.316 0.961
Tm: 0.194 0.558 0.422
Tm: 0.316 0.961 0.054
Tm: 0.422 0.194 0.558
Tm: 0.442 0.578 0.806
Tm: 0.558 0.422 0.194
Tm: 0.578 0.806 0.442
Tm: 0.684 0.039 0.946
Tm: 0.806 0.442 0.578
Tm: 0.946 0.684 0.039
Tm: 0.961 0.054 0.316
Zn: 0.000 0.000 0.000
Sn: 0.124 0.309 0.625
Sn: 0.309 0.625 0.124
Sn: 0.375 0.876 0.691
Sn: 0.625 0.124 0.309
Sn: 0.691 0.375 0.876
Sn: 0.876 0.691 0.375

Results
Crystal system   trigonal
DFT formation energy   -0.291 eV per atom